First-principles (PBE) data for crystalline SrCr2 at its relaxed geometry, as listed in Alexandria via LeMat-Bulk.

Unit cell a=3.7253 b=3.7253 c=5.4283 alpha=90.00 beta=90.00 gamma=120.00
Space group P6/mmm (No. 191)
Asymmetric unit:
Sr 0.0000 0.0000 0.0000
Cr 0.3333 0.6667 0.5000

Properties
- Final energy: -6.009 eV per atom
- Calculated density: 4.9 g/cm3
- Energy of formation from the pure elements: 967 meV/atom